No. 1
Computed, not measured: PmVO4 after structural relaxation at the PBE+U level of DFT.

VASP energy in eV per atom: -8.060
Crystal system: tetragonal
V in Å³/cell: 352.8

The structure in CIF format:
```
data_PmVO4
_cell_length_a 7.387
_cell_length_b 7.387
_cell_length_c 6.467
_cell_angle_alpha 90.00
_cell_angle_beta 90.00
_cell_angle_gamma 90.00
_symmetry_space_group_name_H-M 'I 41/a m d'
_symmetry_Int_Tables_number 141
loop_
_symmetry_equiv_pos_as_xyz
'x,y,z'
'-x,-y,-z'
'-y+1/4,x+3/4,z+1/4'
'y+1/4,-x+3/4,-z+1/4'
'-x+1/2,-y,z+1/2'
'x+1/2,y,-z+1/2'
'y+1/4,-x+1/4,z+3/4'
'-y+1/4,x+1/4,-z+3/4'
'x,-y,-z'
'-x,y,z'
'-y+1/4,-x+1/4,-z+3/4'
'y+1/4,x+1/4,z+3/4'
'-x+1/2,y,-z+1/2'
'x+1/2,-y,z+1/2'
'y+1/4,x+3/4,-z+1/4'
'-y+1/4,-x+3/4,z+1/4'
'x+1/2,y+1/2,z+1/2'
'-x+1/2,-y+1/2,-z+1/2'
'-y+3/4,x+1/4,z+3/4'
'y+3/4,-x+1/4,-z+3/4'
'-x,-y+1/2,z'
'x,y+1/2,-z'
'y+3/4,-x+3/4,z+1/4'
'-y+3/4,x+3/4,-z+1/4'
'x+1/2,-y+1/2,-z+1/2'
'-x+1/2,y+1/2,z+1/2'
'-y+3/4,-x+3/4,-z+1/4'
'y+3/4,x+3/4,z+1/4'
'-x,y+1/2,-z'
'x,-y+1/2,z'
'y+3/4,x+1/4,-z+3/4'
'-y+3/4,-x+1/4,z+3/4'
loop_
_atom_site_label
_atom_site_type_symbol
_atom_site_fract_x
_atom_site_fract_y
_atom_site_fract_z
_atom_site_occupancy
Pm1 Pm 0.000 0.250 0.375 1
V1 V 0.000 0.250 0.875 1
O1 O 0.000 0.069 0.703 1
```

***

No. 2
Computed, not measured: Pm3VO7 after structural relaxation at the PBE+U level of DFT.

VASP energy in eV per atom: -8.104
Crystal system: monoclinic
V in Å³/cell: 311.8

The structure in CIF format:
```
data_Pm3VO7
_cell_length_a 6.563
_cell_length_b 7.596
_cell_length_c 6.586
_cell_angle_alpha 90.00
_cell_angle_beta 108.27
_cell_angle_gamma 90.00
_symmetry_space_group_name_H-M 'P 1 21 1'
_symmetry_Int_Tables_number 4
loop_
_symmetry_equiv_pos_as_xyz
'x,y,z'
'-x,y+1/2,-z'
loop_
_atom_site_label
_atom_site_type_symbol
_atom_site_fract_x
_atom_site_fract_y
_atom_site_fract_z
_atom_site_occupancy
Pm1 Pm 0.003 0.000 0.463 1
Pm2 Pm 0.454 0.737 0.454 1
Pm3 Pm 0.464 0.477 0.003 1
V1 V 0.010 0.264 0.999 1
O1 O 0.039 0.279 0.283 1
O2 O 0.059 0.485 0.944 1
O3 O 0.074 0.718 0.319 1
O4 O 0.286 0.197 0.038 1
O5 O 0.312 0.758 0.074 1
O6 O 0.363 0.487 0.638 1
O7 O 0.371 0.988 0.630 1
```

***

No. 3
Computed, not measured: Pm4V6O19 after structural relaxation at the PBE+U level of DFT.

VASP energy in eV per atom: -7.892
Crystal system: cubic
V in Å³/cell: 677.0

The structure in CIF format:
```
data_Pm4V6O19
_cell_length_a 8.781
_cell_length_b 8.781
_cell_length_c 8.781
_cell_angle_alpha 90.00
_cell_angle_beta 90.00
_cell_angle_gamma 90.00
_symmetry_space_group_name_H-M 'I 2 3'
_symmetry_Int_Tables_number 197
_symmetry_space_group_name_Hall 'I 2 2 3'
loop_
_atom_site_label
_atom_site_type_symbol
_atom_site_fract_x
_atom_site_fract_y
_atom_site_fract_z
_atom_site_occupancy
Pm1 Pm 0.162 0.162 0.162 1
V1 V 0.000 0.165 0.500 1
O1 O 0.000 0.000 0.000 1
O2 O 0.000 0.000 0.356 1
O3 O 0.041 0.289 0.684 1
```

***

No. 4
Computed, not measured: PmV2O8 after structural relaxation at the PBE+U level of DFT.

VASP energy in eV per atom: -6.728
Crystal system: tetragonal
V in Å³/cell: 254.8

The structure in CIF format:
```
data_PmV2O8
_cell_length_a 4.690
_cell_length_b 4.690
_cell_length_c 11.584
_cell_angle_alpha 90.00
_cell_angle_beta 90.00
_cell_angle_gamma 90.00
_symmetry_space_group_name_H-M 'I 4/m m m'
_symmetry_Int_Tables_number 139
_symmetry_space_group_name_Hall '-I 4 2'
loop_
_atom_site_label
_atom_site_type_symbol
_atom_site_fract_x
_atom_site_fract_y
_atom_site_fract_z
_atom_site_occupancy
Pm1 Pm 0.000 0.000 0.000 1
V1 V 0.000 0.500 0.250 1
O1 O 0.248 0.248 0.351 1
```